[1]
DFT (GGA-PBEsol) results for a relaxed structure of MgTaNi.

Computed properties:
symmetry	I4mm
formation energy	0.033	eV per atom

Lattice parameters (Å, degrees): 2.823 2.823 6.141 103.29 103.29 90.00
Atoms (fractional coordinates):
1 Ni 0.330 0.330 0.660
2 Mg 0.982 0.982 0.964
3 Ta 0.688 0.688 0.376

=====

[2]
DFT (GGA-PBEsol) results for a relaxed structure of CuSiRu2.

Computed properties:
symmetry	Cmm2
ΔE_f (raw)	1.06	eV/f.u.

Lattice parameters (Å, degrees): 2.657 2.657 8.333 90.00 90.00 117.30
Atoms (fractional coordinates):
1 Cu 0.500 0.500 0.266
2 Si 0.000 0.000 0.501
3 Ru 0.000 0.000 0.001
4 Ru 0.500 0.500 0.732

=====

[3]
DFT (GGA-PBEsol) results for a relaxed structure of AlHgSe.

Computed properties:
symmetry	P3m1
ΔE_f (raw)	0.26	eV/f.u.

Lattice parameters (Å, degrees): 2.729 5.169 5.169 120.00 90.00 90.00
Atoms (fractional coordinates):
1 Se 0.143 0.333 0.667
2 Al 0.147 0.000 0.000
3 Hg 0.710 0.667 0.333

=====

[4]
DFT (GGA-PBEsol) results for a relaxed structure of Ca2NiBr.

Computed properties:
symmetry	Imm2
ΔE_f (raw)	-2.37	eV/f.u.

Lattice parameters (Å, degrees): 3.603 3.657 8.060 103.11 102.91 90.00
Atoms (fractional coordinates):
1 Ni 0.551 0.551 0.101
2 Ca 0.681 0.181 0.363
3 Ca 0.970 0.970 0.940
4 Br 0.298 0.798 0.596